[1]
Below is Cr2CoTc after structural relaxation, with properties calculated at the GGA-PBE level.

```
Cr2CoTc
1.0
4.091 0.000 0.000
0.000 2.503 0.013
0.000 0.778 4.798
Co Cr Tc
1 2 1
Direct
0.500 0.750 0.750
0.000 0.043 0.985
0.000 0.457 0.515
0.500 0.250 0.250
```

Summary:
- formation enthalpy at 0 K (meV per atom) = 152


[2]
Below is HfVZnFe2 after structural relaxation, with properties calculated at the GGA-PBE level.

```
HfVZnFe2
1.0
4.138 0.000 0.000
0.000 4.611 0.000
0.000 0.000 4.138
Zn Hf Fe V
1 1 2 1
Direct
0.000 0.500 0.000
0.500 0.500 0.500
0.000 0.000 0.500
0.500 0.000 0.000
0.000 0.000 0.000
```

Summary:
- formation enthalpy at 0 K (meV per atom) = 710


[3]
Below is Tb7PrEr3 after structural relaxation, with properties calculated at the GGA-PBE level.

```
Tb7PrEr3
1.0
-4.086 4.553 -6.476
-7.006 -5.700 3.984
1.463 1.744 5.070
Tb Pr Er
7 1 3
Direct
0.924 0.832 0.924
0.827 0.644 0.327
0.647 0.290 0.147
0.353 0.710 0.853
0.500 0.000 0.500
0.173 0.356 0.673
0.076 0.168 0.076
0.500 0.500 0.500
0.223 0.003 0.723
0.000 0.500 0.000
0.777 0.997 0.277
```

Summary:
- formation enthalpy at 0 K (meV per atom) = 138
- offset from the most stable computed form (meV per atom) = 0.0


[4]
Below is Hg2Se2Br after structural relaxation, with properties calculated at the GGA-PBE level.

```
Hg2Se2Br
1.0
-3.562 1.212 -1.662
1.409 -0.983 -3.737
-3.849 -6.929 -1.892
Se Hg Br
2 2 1
Direct
0.750 0.250 0.500
0.250 0.750 0.500
0.405 0.405 0.190
0.595 0.595 0.810
0.000 0.000 0.000
```

Summary:
- offset from the most stable computed form (meV per atom) = 352.2


[5]
Below is AcY2Rh after structural relaxation, with properties calculated at the GGA-PBE level.

```
AcY2Rh
1.0
3.970 0.000 0.000
1.985 3.438 0.000
1.985 1.146 9.494
Y Ac Rh
2 1 1
Direct
0.721 0.721 0.837
0.279 0.279 0.163
0.500 0.500 0.500
0.000 0.000 0.000
```

Summary:
- formation enthalpy at 0 K (meV per atom) = -350
- offset from the most stable computed form (meV per atom) = 113.9


[6]
Below is PmHo8In2 after structural relaxation, with properties calculated at the GGA-PBE level.

```
PmHo8In2
1.0
5.289 -0.408 -0.285
0.379 9.643 2.578
0.379 5.739 8.166
Pm Ho In
1 8 2
Direct
0.000 0.000 0.000
0.270 0.126 0.605
0.270 0.605 0.126
0.730 0.874 0.395
0.239 0.547 0.547
0.730 0.395 0.874
0.235 0.198 0.198
0.765 0.802 0.802
0.761 0.453 0.453
0.755 0.287 0.287
0.245 0.713 0.713
```

Summary:
- formation enthalpy at 0 K (meV per atom) = -46


no.,spin magnetization (μB/atom),VASP energy (eV/cell)
1,0.309,-36.11
2,0.000,-33.72
3,0.000,-49.37
4,0.000,-8.72
5,0.000,-25.79
6,0.000,-47.36